(1)
Compound: ErGa2Au7
Source: the Alexandria database
Functional: PBE-GGA
Structure: optimized geometry

Lattice parameters (Å, degrees): 4.6041 7.5526 7.5526 120.20 90.00 90.00
With the nearest neighbours (Å) after each atom.
Fractional positions:
Au: 0.0000 0.2200 0.7800  2 Ga 2.54
Au: 0.0000 0.7800 0.2200  2 Ga 2.54
Au: 0.5000 0.9280 0.7014  2 Ga 2.62-2.83, 2 Au 2.79-2.80
Au: 0.5000 0.0720 0.2986  2 Ga 2.62-2.83, 2 Au 2.79-2.80
Au: 0.5000 0.2986 0.0720  2 Ga 2.62-2.83, 2 Au 2.79-2.80
Au: 0.5000 0.7014 0.9280  2 Ga 2.62-2.83, 2 Au 2.79-2.80
Au: 0.5000 0.5000 0.5000  2 Ga 2.60, 4 Au 2.80
Ga: 0.5000 0.3015 0.6985  7 Au 2.54-2.83
Ga: 0.5000 0.6985 0.3015  7 Au 2.54-2.83
Er: 0.0000 0.0000 0.0000  10 Au 2.88-3.07

The formation energy comes out at -0.232 eV/atom. As for the density of states at the Fermi level: 2.98 states/eV per cell. As for the calculated volume: 227.0 Å³ per cell. As for the total energy: -3.5877 eV per atom.

***

(2)
Compound: Er3Ga4Au2
Source: the Alexandria database
Functional: PBE-GGA
Structure: optimized geometry

Lattice parameters (Å, degrees): 4.5002 5.7455 8.4449 111.26 90.00 113.06
With the nearest neighbours (Å) after each atom.
Fractional positions:
Ga: 0.2575 0.5149 0.9239  1 Au 2.61, 2 Ga 2.63
Ga: 0.9748 0.9497 0.6367  1 Ga 2.57, 2 Au 2.61
Ga: 0.0252 0.0503 0.3633  1 Ga 2.57, 2 Au 2.61
Ga: 0.7425 0.4851 0.0761  1 Au 2.61, 2 Ga 2.63
Au: 0.3975 0.7949 0.7286  3 Ga 2.61
Au: 0.6025 0.2051 0.2714  3 Ga 2.61
Er: 0.3262 0.6525 0.3449  4 Au 3.02-3.22, 8 Ga 3.04-3.34
Er: 0.0000 0.0000 0.0000  8 Ga 2.97-3.28, 4 Au 3.09
Er: 0.6738 0.3475 0.6551  4 Au 3.02-3.22, 8 Ga 3.04-3.34

The formation energy comes out at -0.746 eV/atom. As for the density of states at the Fermi level: 3.49 states/eV per cell. As for the calculated volume: 184.6 Å³ per cell. As for the total energy: -4.3403 eV per atom.

***

(3)
Compound: Er6GaAu5
Source: the Alexandria database
Functional: PBE-GGA
Structure: optimized geometry

Lattice parameters (Å, degrees): 5.0267 7.1941 8.7340 114.32 106.73 90.00
With the nearest neighbours (Å) after each atom.
Fractional positions:
Er: 0.1674 0.9160 0.3345  7 Au 3.08-3.16, 1 Ga 3.11
Er: 0.8326 0.5815 0.6655  7 Au 3.08-3.16, 1 Ga 3.11
Er: 0.5000 0.2534 0.0000  6 Au 3.03-3.08, 2 Ga 3.10-3.11
Er: 0.1674 0.4185 0.3345  7 Au 3.08-3.16, 1 Ga 3.11
Er: 0.5000 0.7466 0.0000  6 Au 3.03-3.08, 2 Ga 3.10-3.11
Er: 0.8326 0.0840 0.6655  7 Au 3.08-3.16, 1 Ga 3.11
Au: 0.6618 0.1604 0.3209  8 Er 3.03-3.16
Au: 0.0000 0.5000 0.0000  8 Er 3.08-3.10
Au: 0.3382 0.8396 0.6791  8 Er 3.03-3.16
Au: 0.6675 0.6669 0.3337  8 Er 3.08-3.09
Au: 0.3325 0.3331 0.6663  8 Er 3.08-3.09
Ga: 0.0000 0.0000 0.0000  8 Er 3.10-3.11

The formation energy comes out at -0.829 eV/atom. As for the density of states at the Fermi level: 6.01 states/eV per cell. As for the calculated volume: 273.1 Å³ per cell. As for the total energy: -4.7283 eV per atom.